(1)
Er8OsRh2 after structural relaxation. Source: the Alexandria database, functional PBE.

a b c (Å): 8.8621 8.8621 6.7381
angles (deg): 106.73 106.73 32.23
Closest atoms and distances in Å follow each position.
Fractional positions:
Er 0.0317 0.0317 0.2944  1 Rh 2.91, 2 Os 2.95
Er 0.2015 0.2015 0.8115  1 Rh 2.71
Er 0.3334 0.3334 0.5348  3 Rh 2.79-3.12, 1 Os 2.92
Er 0.4065 0.4065 0.0569  1 Os 2.93, 2 Rh 3.16
Er 0.5935 0.5935 0.9431  1 Os 2.93, 2 Rh 3.16
Er 0.6666 0.6666 0.4652  3 Rh 2.79-3.12, 1 Os 2.92
Er 0.7985 0.7985 0.1885  1 Rh 2.71
Er 0.9683 0.9683 0.7056  1 Rh 2.91, 2 Os 2.95
Os 0.5000 0.5000 0.5000  8 Er 2.92-2.95
Rh 0.1882 0.1882 0.2024  3 Er 2.71-2.91
Rh 0.8118 0.8118 0.7976  3 Er 2.71-2.91

- E_tot: -6.120 eV per atom
- ΔE to the lowest computed polymorph: 0.000 eV per atom
- Space group: C2/m (12)
- Total magnetization: 0.0 μB/f.u.
- Energy of formation: -43 kJ/mol of atoms

=====

(2)
Er8Os2Rh after structural relaxation. Source: the Alexandria database, functional PBE.

a b c (Å): 9.0038 9.0038 6.9035
angles (deg): 106.56 106.56 30.33
Closest atoms and distances in Å follow each position.
Fractional positions:
Er 0.0307 0.0307 0.2907  2 Rh 2.89, 1 Os 2.91
Er 0.2059 0.2059 0.8136  3 Os 2.81-3.05
Er 0.3309 0.3309 0.5369  3 Os 2.90-3.03, 1 Rh 3.02
Er 0.4017 0.4017 0.0354  2 Os 3.00, 1 Rh 3.16, 4 Er 3.29-3.36
Er 0.5983 0.5983 0.9646  2 Os 3.00, 1 Rh 3.16, 4 Er 3.29-3.36
Er 0.6691 0.6691 0.4631  3 Os 2.90-3.03, 1 Rh 3.02
Er 0.7941 0.7941 0.1864  3 Os 2.81-3.05
Er 0.9693 0.9693 0.7093  2 Rh 2.89, 1 Os 2.91
Os 0.1843 0.1843 0.2009  9 Er 2.81-3.05
Os 0.8157 0.8157 0.7991  9 Er 2.81-3.05
Rh 0.5000 0.5000 0.5000  8 Er 2.89-3.16

- E_tot: -6.379 eV per atom
- ΔE to the lowest computed polymorph: 0.000 eV per atom
- Space group: C2/m (12)
- Total magnetization: 0.0 μB/f.u.
- Energy of formation: -34 kJ/mol of atoms

=====

(3)
ErScOsRh after structural relaxation. Source: the Alexandria database, functional PBE.

a b c (Å): 3.3032 3.3032 6.6169
angles (deg): 90.00 90.00 90.00
Closest atoms and distances in Å follow each position.
Fractional positions:
Er 0.0000 0.0000 0.0000  4 Os 2.90, 4 Rh 2.92, 1 Sc 3.24
Sc 0.0000 0.0000 0.5111  4 Os 2.79, 4 Rh 2.85
Os 0.5000 0.5000 0.7403  4 Sc 2.79, 4 Er 2.90
Rh 0.5000 0.5000 0.2642  4 Sc 2.85, 4 Er 2.92, 1 Os 3.15

- E_tot: -7.997 eV per atom
- ΔE to the lowest computed polymorph: 0.000 eV per atom
- Space group: P4mm (99)
- Total magnetization: 0.0 μB/f.u.
- Energy of formation: -61 kJ/mol of atoms

=====

(4)
ErScOsRh after structural relaxation. Source: the Alexandria database, functional PBE.

a b c (Å): 4.6726 4.6726 4.6726
angles (deg): 60.00 60.00 60.00
Closest atoms and distances in Å follow each position.
Fractional positions:
Er 0.0000 0.0000 0.0000  4 Rh 2.86, 4 Os 2.86
Sc 0.5000 0.5000 0.5000  4 Rh 2.86, 4 Os 2.86
Os 0.2500 0.2500 0.2500  4 Er 2.86, 4 Sc 2.86
Rh 0.7500 0.7500 0.7500  4 Er 2.86, 4 Sc 2.86

- E_tot: -7.970 eV per atom
- ΔE to the lowest computed polymorph: 0.027 eV per atom
- Space group: F-43m (216)
- Total magnetization: 0.0 μB/f.u.
- Energy of formation: -58 kJ/mol of atoms

=====

(5)
ErSi3OsRh after structural relaxation. Source: the Alexandria database, functional PBE.

a b c (Å): 7.5905 7.5905 5.4304
angles (deg): 90.00 90.00 132.27
Closest atoms and distances in Å follow each position.
Fractional positions:
Er 0.1781 0.8219 0.7500  2 Si 2.82, 2 Os 3.11
Er 0.8219 0.1781 0.2500  2 Si 2.82, 2 Os 3.11
Si 0.2323 0.7677 0.2500  1 Rh 2.23, 1 Os 2.26
Si 0.2875 0.2875 0.0000  2 Rh 2.40, 2 Os 2.43, 1 Si 2.61
Si 0.2875 0.2875 0.5000  2 Rh 2.40, 2 Os 2.43, 1 Si 2.61
Si 0.7125 0.7125 0.0000  2 Rh 2.40, 2 Os 2.43, 1 Si 2.61
Si 0.7125 0.7125 0.5000  2 Rh 2.40, 2 Os 2.43, 1 Si 2.61
Si 0.7677 0.2323 0.7500  1 Rh 2.23, 1 Os 2.26
Os 0.0696 0.9304 0.2500  5 Si 2.26-2.43
Os 0.9304 0.0696 0.7500  5 Si 2.26-2.43
Rh 0.3932 0.6068 0.2500  5 Si 2.23-2.40
Rh 0.6068 0.3932 0.7500  5 Si 2.23-2.40

- Formation energy from raw total energies: -0.435 eV per atom
- E_tot: -7.004 eV per atom
- Space group: Cmcm (63)
- Total magnetization: 0.0 μB/f.u.

=====

(6)
ErTiOsRh after structural relaxation. Source: the Alexandria database, functional PBE.

a b c (Å): 4.5855 4.5855 4.5855
angles (deg): 60.00 60.00 60.00
Closest atoms and distances in Å follow each position.
Fractional positions:
Er 0.0000 0.0000 0.0000  4 Rh 2.81, 4 Os 2.81
Ti 0.5000 0.5000 0.5000  4 Rh 2.81, 4 Os 2.81
Os 0.2500 0.2500 0.2500  4 Er 2.81, 4 Ti 2.81
Rh 0.7500 0.7500 0.7500  4 Er 2.81, 4 Ti 2.81

- E_tot: -8.308 eV per atom
- Space group: F-43m (216)
- Total magnetization: 0.0 μB/f.u.
- Energy of formation: -53 kJ/mol of atoms

=====

(7)
ErUOsRh after structural relaxation. Source: the Alexandria database, functional PBE.

a b c (Å): 4.8061 4.8061 4.8061
angles (deg): 60.00 60.00 60.00
Closest atoms and distances in Å follow each position.
Fractional positions:
Er 0.0000 0.0000 0.0000  4 Rh 2.94, 4 Os 2.94
U 0.5000 0.5000 0.5000  4 Os 2.94, 4 Rh 2.94
Os 0.2500 0.2500 0.2500  4 Er 2.94, 4 U 2.94
Rh 0.7500 0.7500 0.7500  4 U 2.94, 4 Er 2.94

- E_tot: -8.954 eV per atom
- Space group: F-43m (216)
- Total magnetization: 1.9 μB/f.u.
- Energy of formation: -33 kJ/mol of atoms

=====

(8)
ErZrOsRh after structural relaxation. Source: the Alexandria database, functional PBE.

a b c (Å): 4.7171 4.7171 4.7171
angles (deg): 60.00 60.00 60.00
Closest atoms and distances in Å follow each position.
Fractional positions:
Er 0.0000 0.0000 0.0000  4 Os 2.89, 4 Rh 2.89
Zr 0.5000 0.5000 0.5000  4 Os 2.89, 4 Rh 2.89
Os 0.7500 0.7500 0.7500  4 Zr 2.89, 4 Er 2.89
Rh 0.2500 0.2500 0.2500  4 Zr 2.89, 4 Er 2.89

- E_tot: -8.546 eV per atom
- ΔE to the lowest computed polymorph: 0.032 eV per atom
- Space group: F-43m (216)
- Total magnetization: 0.0 μB/f.u.
- Energy of formation: -60 kJ/mol of atoms

=====

(9)
ErZrOsRh after structural relaxation. Source: the Alexandria database, functional PBE.

a b c (Å): 3.3442 3.3442 6.6696
angles (deg): 90.00 90.00 90.00
Closest atoms and distances in Å follow each position.
Fractional positions:
Er 0.0000 0.0000 0.0000  4 Rh 2.94, 4 Os 2.96
Zr 0.0000 0.0000 0.5027  4 Os 2.82, 4 Rh 2.86
Os 0.5000 0.5000 0.7328  4 Zr 2.82, 4 Er 2.96, 1 Rh 3.14
Rh 0.5000 0.5000 0.2624  4 Zr 2.86, 4 Er 2.94, 1 Os 3.14

- E_tot: -8.579 eV per atom
- ΔE to the lowest computed polymorph: 0.000 eV per atom
- Space group: P4mm (99)
- Total magnetization: 0.0 μB/f.u.
- Energy of formation: -63 kJ/mol of atoms

=====

(10)
Er2Os3Ru after structural relaxation. Source: the Alexandria database, functional PBE.

a b c (Å): 5.3834 5.3834 5.3834
angles (deg): 58.70 58.70 58.70
Closest atoms and distances in Å follow each position.
Fractional positions:
Er 0.1241 0.1241 0.1241  3 Ru 3.10, 9 Os 3.11-3.17, 4 Er 3.25-3.31
Er 0.8759 0.8759 0.8759  3 Ru 3.10, 9 Os 3.11-3.17, 4 Er 3.25-3.31
Os 0.0000 0.5000 0.5000  4 Os 2.64, 2 Ru 2.69
Os 0.5000 0.0000 0.5000  4 Os 2.64, 2 Ru 2.69
Os 0.5000 0.5000 0.0000  4 Os 2.64, 2 Ru 2.69
Ru 0.5000 0.5000 0.5000  6 Os 2.69

- E_tot: -9.001 eV per atom
- Space group: R-3m (166)
- Total magnetization: 0.0 μB/f.u.
- Energy of formation: -31 kJ/mol of atoms

=====

(11)
Er8Os2Ru after structural relaxation. Source: the Alexandria database, functional PBE.

a b c (Å): 8.9692 8.9692 6.8784
angles (deg): 106.80 106.80 30.52
Closest atoms and distances in Å follow each position.
Fractional positions:
Er 0.0297 0.0297 0.2944  2 Ru 2.88, 1 Os 2.93
Er 0.2046 0.2046 0.8126  3 Os 2.78-3.06
Er 0.3320 0.3320 0.5376  3 Os 2.90-3.04, 1 Ru 3.00
Er 0.4024 0.4024 0.0382  2 Os 3.00, 1 Ru 3.12, 6 Er 3.29-3.35
Er 0.5976 0.5976 0.9618  2 Os 3.00, 1 Ru 3.12, 6 Er 3.29-3.35
Er 0.6680 0.6680 0.4624  3 Os 2.90-3.04, 1 Ru 3.00
Er 0.7954 0.7954 0.1874  3 Os 2.78-3.06
Er 0.9703 0.9703 0.7056  2 Ru 2.88, 1 Os 2.93
Os 0.1840 0.1840 0.1989  9 Er 2.78-3.06
Os 0.8160 0.8160 0.8011  9 Er 2.78-3.06
Ru 0.5000 0.5000 0.5000  8 Er 2.88-3.12

- E_tot: -6.478 eV per atom
- ΔE to the lowest computed polymorph: 0.000 eV per atom
- Space group: C2/m (12)
- Total magnetization: 0.0 μB/f.u.
- Energy of formation: -26 kJ/mol of atoms

=====

(12)
Er8Os2Ru after structural relaxation. Source: the Alexandria database, functional PBE.

a b c (Å): 7.5184 7.5184 5.6756
angles (deg): 100.53 100.53 113.03
Closest atoms and distances in Å follow each position.
Fractional positions:
Er 0.0000 0.0000 0.0000  1 Ru 2.81, 2 Os 2.97
Er 0.0270 0.2844 0.5961  2 Os 2.77-2.80
Er 0.1479 0.5743 0.1930  1 Ru 2.68
Er 0.2844 0.0270 0.5961  2 Os 2.77-2.80
Er 0.4352 0.6933 0.7925  2 Os 2.78-2.80
Er 0.5743 0.1479 0.1930  1 Ru 2.68
Er 0.6933 0.4352 0.7925  2 Os 2.78-2.80
Er 0.7173 0.7173 0.3828  1 Ru 2.82, 2 Os 2.96
Os 0.0486 0.6681 0.6900  8 Er 2.77-3.09
Os 0.6681 0.0486 0.6900  8 Er 2.77-3.09
Ru 0.3587 0.3587 0.1619  4 Er 2.68-2.82

- E_tot: -6.423 eV per atom
- ΔE to the lowest computed polymorph: 0.055 eV per atom
- Space group: Cm (8)
- Total magnetization: 0.0 μB/f.u.
- Energy of formation: -21 kJ/mol of atoms